Record 1
The following is a DFT calculation (PBE) of a geometry-optimized Ir3RuRh2 structure.

Unit cell a=7.440 b=7.440 c=2.682 alpha=90.00 beta=90.00 gamma=143.38
Positions (direct):
Ir1 0.000 0.000 0.000
Ir2 0.339 0.661 0.000
Ir3 0.661 0.339 0.000
Ru1 0.500 0.500 0.500
Rh1 0.171 0.829 0.500
Rh2 0.829 0.171 0.500

Summary:
energy above the lowest structure with this stoichiometry	0.329	eV/atom
formation energy from the elements	0.311	eV/atom

Record 2
The following is a DFT calculation (PBE) of a geometry-optimized Mg2SnPd2 structure.

Unit cell a=9.616 b=6.364 c=6.458 alpha=90.00 beta=90.00 gamma=90.00
Positions (direct):
Mg1 0.002 0.250 0.000
Mg2 0.002 0.250 0.500
Mg3 0.326 0.250 0.000
Mg4 0.326 0.250 0.500
Mg5 0.674 0.750 0.000
Mg6 0.674 0.750 0.500
Mg7 0.998 0.750 0.000
Mg8 0.998 0.750 0.500
Sn1 0.325 0.750 0.000
Sn2 0.325 0.750 0.500
Sn3 0.675 0.250 0.000
Sn4 0.675 0.250 0.500
Pd1 0.167 0.003 0.250
Pd2 0.167 0.497 0.750
Pd3 0.498 0.507 0.250
Pd4 0.498 0.993 0.750
Pd5 0.502 0.007 0.250
Pd6 0.502 0.493 0.750
Pd7 0.833 0.503 0.250
Pd8 0.833 0.997 0.750

Summary:
formation energy from the elements	-0.536	eV/atom

Record 3
The following is a DFT calculation (PBE) of a geometry-optimized ErSn6Pd12 structure.

Unit cell a=7.570 b=7.570 c=7.570 alpha=106.21 beta=106.21 gamma=106.21
Positions (direct):
Er1 0.000 0.000 0.000
Sn1 0.280 0.280 0.696
Sn2 0.280 0.696 0.280
Sn3 0.304 0.720 0.720
Sn4 0.696 0.280 0.280
Sn5 0.720 0.304 0.720
Sn6 0.720 0.720 0.304
Pd1 0.118 0.500 0.882
Pd2 0.118 0.882 0.500
Pd3 0.119 0.362 0.362
Pd4 0.362 0.119 0.362
Pd5 0.362 0.362 0.119
Pd6 0.500 0.118 0.882
Pd7 0.500 0.882 0.118
Pd8 0.638 0.638 0.881
Pd9 0.638 0.881 0.638
Pd10 0.881 0.638 0.638
Pd11 0.882 0.118 0.500
Pd12 0.882 0.500 0.118

Summary:
formation energy from the elements	-0.440	eV/atom

Record 4
The following is a DFT calculation (PBE) of a geometry-optimized NaCeNdTl structure.

Unit cell a=5.556 b=5.556 c=5.556 alpha=60.00 beta=60.00 gamma=60.00
Positions (direct):
Na1 0.000 0.000 0.000
Ce1 0.750 0.750 0.750
Nd1 0.250 0.250 0.250
Tl1 0.500 0.500 0.500

Summary:
formation energy from the elements	0.022	eV/atom